1.
Material: MnSiW2
Method: DFT, PBE
State: optimized geometry

Geometry as POSCAR:
```
MnSiW2
1.0
5.512 0.000 0.000
0.000 6.632 0.000
0.000 0.000 3.105
Mn Si W
2 2 4
direct
0.000 0.000 0.000 Mn
0.500 0.500 0.000 Mn
0.000 0.500 0.000 Si
0.500 0.000 0.000 Si
0.250 0.250 0.500 W
0.250 0.750 0.500 W
0.750 0.250 0.500 W
0.750 0.750 0.500 W
```

**Formation energy from raw total energies**: 40 kJ/mol of formula units
**Crystal system**: orthorhombic
**Symmetry**: Cmmm, No. 65
**Magnetization**: 0.480 μB per atom



2.
Material: MnSiW2
Method: DFT, PBE
State: optimized geometry

Geometry as POSCAR:
```
MnSiW2
1.0
3.753 0.000 0.000
0.000 3.753 0.000
0.000 0.000 8.075
Mn Si W
2 2 4
direct
0.000 0.000 0.000 Mn
0.500 0.500 0.500 Mn
0.000 0.500 0.750 Si
0.500 0.000 0.250 Si
0.000 0.000 0.500 W
0.000 0.500 0.250 W
0.500 0.000 0.750 W
0.500 0.500 0.000 W
```

**Formation energy from raw total energies**: 36 kJ/mol of formula units
**Crystal system**: tetragonal
**Symmetry**: I-4m2, No. 119
**Magnetization**: 0.412 μB per atom



3.
Material: MnSi3W
Method: DFT, PBE
State: optimized geometry

Geometry as POSCAR:
```
MnSi3W
1.0
4.342 0.000 0.000
0.000 4.342 0.000
0.000 0.000 4.342
Mn Si W
1 3 1
direct
0.000 0.000 0.000 Mn
0.000 0.000 0.500 Si
0.000 0.500 0.000 Si
0.500 0.000 0.000 Si
0.500 0.500 0.500 W
```

**Formation energy from raw total energies**: 487 kJ/mol of formula units
**Crystal system**: cubic
**Symmetry**: Pm-3m, No. 221
**Energy above the most stable polymorph in this dataset**: 0 meV per atom
**Magnetization**: 0.812 μB per atom



4.
Material: MnSiW2
Method: DFT, PBE
State: optimized geometry

Geometry as POSCAR:
```
MnSiW2
1.0
2.777 0.000 0.000
-1.389 2.405 0.000
0.000 0.000 25.561
Mn Si W
3 3 6
direct
0.000 0.000 0.000 Mn
0.333 0.667 0.667 Mn
0.667 0.333 0.333 Mn
0.000 0.000 0.262 Si
0.333 0.667 0.929 Si
0.667 0.333 0.595 Si
0.000 0.000 0.509 W
0.000 0.000 0.747 W
0.333 0.667 0.176 W
0.333 0.667 0.414 W
0.667 0.333 0.081 W
0.667 0.333 0.842 W
```

**Formation energy from raw total energies**: 75 kJ/mol of formula units
**Crystal system**: trigonal
**Symmetry**: R3m, No. 160
**Magnetization**: 0.000 μB per atom



5.
Material: MnSiW2
Method: DFT, PBE
State: optimized geometry

Geometry as POSCAR:
```
MnSiW2
1.0
2.784 0.000 0.000
-1.392 2.411 0.000
0.000 0.000 25.495
Mn Si W
3 3 6
direct
0.000 0.000 0.000 Mn
0.333 0.667 0.667 Mn
0.667 0.333 0.333 Mn
0.000 0.000 0.500 Si
0.333 0.667 0.167 Si
0.667 0.333 0.833 Si
0.000 0.000 0.251 W
0.000 0.000 0.749 W
0.333 0.667 0.416 W
0.333 0.667 0.918 W
0.667 0.333 0.082 W
0.667 0.333 0.584 W
```

**Formation energy from raw total energies**: 94 kJ/mol of formula units
**Crystal system**: trigonal
**Symmetry**: R-3m, No. 166
**Magnetization**: 0.000 μB per atom



6.
Material: MnSi2W
Method: DFT, PBE
State: optimized geometry

Geometry as POSCAR:
```
MnSi2W
1.0
3.308 0.000 0.000
0.000 4.408 0.000
0.000 0.000 7.426
Mn Si W
2 4 2
direct
0.000 0.000 0.000 Mn
0.500 0.500 0.500 Mn
0.000 0.500 0.262 Si
0.000 0.500 0.738 Si
0.500 0.000 0.238 Si
0.500 0.000 0.762 Si
0.000 0.000 0.500 W
0.500 0.500 0.000 W
```

**Formation energy from raw total energies**: -9 kJ/mol of formula units
**Crystal system**: orthorhombic
**Symmetry**: Immm, No. 71
**Energy above the most stable polymorph in this dataset**: 215 meV per atom
**Magnetization**: 0.694 μB per atom